Entry 1:
Al4ZnOs: relaxed, PBE.

Cell and atoms, written as CIF:
```
data_Al4ZnOs
_chemical_formula_sum 'Al16 Zn4 Os4'
_space_group_name_H-M_alt 'F -4 3 m'
_space_group_IT_number 216
_space_group_name_Hall 'F -4 2 3'
_cell_length_a 7.110
_cell_length_b 7.110
_cell_length_c 7.110
_cell_angle_alpha 90.00
_cell_angle_beta 90.00
_cell_angle_gamma 90.00
loop_
_atom_site_label
_atom_site_type_symbol
_atom_site_fract_x
_atom_site_fract_y
_atom_site_fract_z
Al1 Al 0.124 0.124 0.376
Zn1 Zn 0.000 0.000 0.000
Os1 Os 0.250 0.250 0.750
```

ρ = 6.72 g cm⁻³

Entry 2:
Al6ZnOs: relaxed, PBE.

Cell and atoms, written as CIF:
```
data_Al6ZnOs
_chemical_formula_sum 'Al12 Zn2 Os2'
_space_group_name_H-M_alt 'C 1 2/m 1'
_space_group_IT_number 12
_cell_length_a 6.489
_cell_length_b 7.735
_cell_length_c 5.070
_cell_angle_alpha 90.00
_cell_angle_beta 97.27
_cell_angle_gamma 90.00
loop_
_space_group_symop_operation_xyz
'x,y,z'
'-x,-y,-z'
'-x,y,-z'
'x,-y,z'
'x+1/2,y+1/2,z'
'-x+1/2,-y+1/2,-z'
'-x+1/2,y+1/2,-z'
'x+1/2,-y+1/2,z'
loop_
_atom_site_label
_atom_site_type_symbol
_atom_site_fract_x
_atom_site_fract_y
_atom_site_fract_z
Al1 Al 0.149 0.000 0.209
Al2 Al 0.176 0.189 0.716
Zn1 Zn 0.000 0.500 0.000
Os1 Os 0.000 0.500 0.500
```

ρ = 5.49 g cm⁻³

Entry 3:
AlZnOs4: relaxed, PBE.

Cell and atoms, written as CIF:
```
data_AlZnOs4
_chemical_formula_sum 'Al4 Zn4 Os16'
_space_group_name_H-M_alt 'F -4 3 m'
_space_group_IT_number 216
_space_group_name_Hall 'F -4 2 3'
_cell_length_a 7.277
_cell_length_b 7.277
_cell_length_c 7.277
_cell_angle_alpha 90.00
_cell_angle_beta 90.00
_cell_angle_gamma 90.00
loop_
_atom_site_label
_atom_site_type_symbol
_atom_site_fract_x
_atom_site_fract_y
_atom_site_fract_z
Al1 Al 0.000 0.000 0.000
Zn1 Zn 0.250 0.250 0.750
Os1 Os 0.125 0.125 0.375
```

ρ = 14.71 g cm⁻³

Entry 4:
AlZnOs: relaxed, PBE.

Cell and atoms, written as CIF:
```
data_AlZnOs
_chemical_formula_sum 'Al2 Zn2 Os2'
_space_group_name_H-M_alt 'I 4 m m'
_space_group_IT_number 107
_space_group_name_Hall 'I 4 -2'
_cell_length_a 3.160
_cell_length_b 3.160
_cell_length_c 8.495
_cell_angle_alpha 90.00
_cell_angle_beta 90.00
_cell_angle_gamma 90.00
loop_
_atom_site_label
_atom_site_type_symbol
_atom_site_fract_x
_atom_site_fract_y
_atom_site_fract_z
Al1 Al 0.000 0.000 0.000
Zn1 Zn 0.000 0.000 0.320
Os1 Os 0.000 0.000 0.650
```

ρ = 11.07 g cm⁻³

Entry 5:
ZrAlZn2Os: relaxed, PBE.

Cell and atoms, written as CIF:
```
data_ZrAlZn2Os
_chemical_formula_sum 'Zr1 Al1 Zn2 Os1'
_space_group_name_H-M_alt 'P 4/m m m'
_space_group_IT_number 123
_space_group_name_Hall '-P 4 2'
_cell_length_a 4.471
_cell_length_b 4.471
_cell_length_c 4.603
_cell_angle_alpha 90.00
_cell_angle_beta 90.00
_cell_angle_gamma 90.00
loop_
_atom_site_label
_atom_site_type_symbol
_atom_site_fract_x
_atom_site_fract_y
_atom_site_fract_z
Zr1 Zr 0.000 0.000 0.000
Al1 Al 0.500 0.500 0.500
Zn1 Zn 0.000 0.500 0.500
Os1 Os 0.500 0.500 0.000
```

ρ = 7.93 g cm⁻³

Entry 6:
ZrAl2Os: relaxed, PBE.

Cell and atoms, written as CIF:
```
data_ZrAl2Os
_chemical_formula_sum 'Zr2 Al4 Os2'
_space_group_name_H-M_alt 'I m m m'
_space_group_IT_number 71
_space_group_name_Hall '-I 2 2'
_cell_length_a 3.100
_cell_length_b 4.776
_cell_length_c 9.181
_cell_angle_alpha 90.00
_cell_angle_beta 90.00
_cell_angle_gamma 90.00
loop_
_atom_site_label
_atom_site_type_symbol
_atom_site_fract_x
_atom_site_fract_y
_atom_site_fract_z
Zr1 Zr 0.000 0.000 0.000
Al1 Al 0.000 0.500 0.228
Os1 Os 0.000 0.000 0.500
```

ρ = 8.20 g cm⁻³

Entry 7:
ZrAl2Os: relaxed, PBE.

Cell and atoms, written as CIF:
```
data_ZrAl2Os
_chemical_formula_sum 'Zr2 Al4 Os2'
_space_group_name_H-M_alt 'C 1 2/m 1'
_space_group_IT_number 12
_cell_length_a 9.231
_cell_length_b 3.156
_cell_length_c 4.795
_cell_angle_alpha 90.00
_cell_angle_beta 104.79
_cell_angle_gamma 90.00
loop_
_space_group_symop_operation_xyz
'x,y,z'
'-x,-y,-z'
'-x,y,-z'
'x,-y,z'
'x+1/2,y+1/2,z'
'-x+1/2,-y+1/2,-z'
'-x+1/2,y+1/2,-z'
'x+1/2,-y+1/2,z'
loop_
_atom_site_label
_atom_site_type_symbol
_atom_site_fract_x
_atom_site_fract_y
_atom_site_fract_z
Zr1 Zr 0.000 0.000 0.000
Al1 Al 0.233 0.000 0.716
Os1 Os 0.000 0.500 0.500
```

ρ = 8.25 g cm⁻³

Entry 8:
ZrAl2Os: relaxed, PBE.

Cell and atoms, written as CIF:
```
data_ZrAl2Os
_chemical_formula_sum 'Zr2 Al4 Os2'
_space_group_name_H-M_alt 'C 1 2/m 1'
_space_group_IT_number 12
_cell_length_a 5.507
_cell_length_b 8.553
_cell_length_c 2.904
_cell_angle_alpha 90.00
_cell_angle_beta 104.52
_cell_angle_gamma 90.00
loop_
_space_group_symop_operation_xyz
'x,y,z'
'-x,-y,-z'
'-x,y,-z'
'x,-y,z'
'x+1/2,y+1/2,z'
'-x+1/2,-y+1/2,-z'
'-x+1/2,y+1/2,-z'
'x+1/2,-y+1/2,z'
loop_
_atom_site_label
_atom_site_type_symbol
_atom_site_fract_x
_atom_site_fract_y
_atom_site_fract_z
Zr1 Zr 0.000 0.000 0.000
Al1 Al 0.250 0.250 0.500
Os1 Os 0.000 0.500 0.000
```

ρ = 8.41 g cm⁻³

| no. | ΔE_f (meV/atom) | final energy (Ry per atom) | V (A^3/atom) |
| --- | --- | --- | --- |
| 1 | 138 | -0.3264 | 14.97 |
| 2 | -77 | -0.3268 | 15.78 |
| 3 | 603 | -0.5674 | 16.06 |
| 4 | -118 | -0.4067 | 14.14 |
| 5 | 630 | -0.3369 | 18.41 |
| 6 | -277 | -0.5213 | 16.99 |
| 7 | -303 | -0.5232 | 16.88 |
| 8 | -166 | -0.5131 | 16.55 |